# 1
{"formula": "Ac4La3UP8", "functional": "GGA-PBE", "state": "relaxed", "cell": [[8.624, 0.000, 0.000], [0.000, 8.635, 0.002], [-4.312, -4.308, 6.101]], "species": ["P", "La", "P", "U", "Ac", "La", "Ac", "P", "P", "La", "Ac", "P", "P", "P", "P", "Ac"], "frac_coords": [[0.236, 0.730, 0.472], [0.000, 0.500, 0.500], [0.236, 0.730, 0.993], [0.000, 0.500, 0.000], [0.500, 0.000, 0.500], [0.500, 0.500, 0.000], [0.000, 0.000, 0.000], [0.243, 0.270, 0.007], [0.764, 0.270, 0.007], [0.500, 0.500, 0.500], [0.000, 0.000, 0.500], [0.253, 0.261, 0.507], [0.764, 0.270, 0.528], [0.757, 0.730, 0.993], [0.747, 0.739, 0.493], [0.500, 0.000, 0.000]], "space_group": "R-3m", "density_g_cm3": 6.62, "e_form_ev_per_fu": -22.58}

---

# 2
{"formula": "Ho2TmPa", "functional": "GGA-PBE", "state": "relaxed", "cell": [[-2.279, 4.554, -2.120], [-3.824, 2.759, 2.861], [1.193, 4.938, 2.149]], "species": ["Pa", "Ho", "Tm", "Ho"], "frac_coords": [[0.000, 0.000, 0.000], [0.250, 0.250, 0.250], [0.500, 0.500, 0.500], [0.750, 0.750, 0.750]], "space_group": "Fm-3m", "de_polymorph_mev_per_atom": 239.0, "density_g_cm3": 10.21, "e_form_ev_per_fu": 1.37}